Run i
# TcSb3Se PBE relaxed
data_TcSb3Se
_space_group_name_H-M_alt 'P m -3 m'
_space_group_IT_number 221
_space_group_name_Hall '-P 4 2 3'
_cell_length_a 5.329
_cell_length_b 5.329
_cell_length_c 5.329
_cell_angle_alpha 90.00
_cell_angle_beta 90.00
_cell_angle_gamma 90.00
loop_
_atom_site_label
_atom_site_fract_x
_atom_site_fract_y
_atom_site_fract_z
_atom_site_occupancy
Tc1 0.000 0.000 0.000 1
Sb1 0.000 0.500 0.500 1
Se1 0.500 0.500 0.500 1
# Calculated volume in Å³ per atom: 30.27
# D(E_F) in states/eV/cell: 4.175

Run ii
# TcSb3Se PBE relaxed
data_TcSb3Se
_space_group_name_H-M_alt 'P m -3 m'
_space_group_IT_number 221
_space_group_name_Hall '-P 4 2 3'
_cell_length_a 5.129
_cell_length_b 5.129
_cell_length_c 5.129
_cell_angle_alpha 90.00
_cell_angle_beta 90.00
_cell_angle_gamma 90.00
loop_
_atom_site_label
_atom_site_fract_x
_atom_site_fract_y
_atom_site_fract_z
_atom_site_occupancy
Tc1 0.000 0.000 0.000 1
Sb1 0.000 0.000 0.500 1
Se1 0.500 0.500 0.500 1
# Calculated volume in Å³ per atom: 26.99
# D(E_F) in states/eV/cell: 4.939

run ii comes first in stability; the runner-up is 0.912 eV/atom higher.

Run i
# Tc3SbSe PBE relaxed
data_Tc3SbSe
_space_group_name_H-M_alt 'P m -3 m'
_space_group_IT_number 221
_space_group_name_Hall '-P 4 2 3'
_cell_length_a 4.598
_cell_length_b 4.598
_cell_length_c 4.598
_cell_angle_alpha 90.00
_cell_angle_beta 90.00
_cell_angle_gamma 90.00
loop_
_atom_site_label
_atom_site_fract_x
_atom_site_fract_y
_atom_site_fract_z
_atom_site_occupancy
Tc1 0.000 0.000 0.500 1
Sb1 0.500 0.500 0.500 1
Se1 0.000 0.000 0.000 1
# Calculated volume in Å³ per atom: 19.44
# D(E_F) in states/eV/cell: 5.165

Run ii
# Tc3SbSe PBE relaxed
data_Tc3SbSe
_space_group_name_H-M_alt 'P m -3 m'
_space_group_IT_number 221
_space_group_name_Hall '-P 4 2 3'
_cell_length_a 4.881
_cell_length_b 4.881
_cell_length_c 4.881
_cell_angle_alpha 90.00
_cell_angle_beta 90.00
_cell_angle_gamma 90.00
loop_
_atom_site_label
_atom_site_fract_x
_atom_site_fract_y
_atom_site_fract_z
_atom_site_occupancy
Tc1 0.000 0.000 0.500 1
Sb1 0.000 0.000 0.000 1
Se1 0.500 0.500 0.500 1
# Calculated volume in Å³ per atom: 23.26
# D(E_F) in states/eV/cell: 5.830

run i comes first in stability; the runner-up is 0.958 eV/atom higher.

Run i
# SbTeSe2 PBE relaxed
data_SbTeSe2
_space_group_name_H-M_alt 'P 1'
_space_group_IT_number 1
_cell_length_a 4.830
_cell_length_b 5.865
_cell_length_c 10.380
_cell_angle_alpha 90.16
_cell_angle_beta 93.14
_cell_angle_gamma 90.04
loop_
_space_group_symop_operation_xyz
'x,y,z'
loop_
_atom_site_label
_atom_site_fract_x
_atom_site_fract_y
_atom_site_fract_z
_atom_site_occupancy
Sb1 0.000 0.000 0.000 1
Sb2 0.493 0.501 0.203 1
Te1 0.682 0.171 0.738 1
Te2 0.811 0.673 0.465 1
Se1 0.050 0.447 0.029 1
Se2 0.217 0.957 0.762 1
Se3 0.275 0.459 0.441 1
Se4 0.443 0.948 0.174 1
# Calculated volume in Å³ per atom: 36.70
# D(E_F) in states/eV/cell: 2.988

Run ii
# SbTeSe2 PBE relaxed
data_SbTeSe2
_space_group_name_H-M_alt 'I -4 m 2'
_space_group_IT_number 119
_space_group_name_Hall 'I -4 -2'
_cell_length_a 4.026
_cell_length_b 4.026
_cell_length_c 14.119
_cell_angle_alpha 90.00
_cell_angle_beta 90.00
_cell_angle_gamma 90.00
loop_
_atom_site_label
_atom_site_fract_x
_atom_site_fract_y
_atom_site_fract_z
_atom_site_occupancy
Sb1 0.000 0.000 0.000 1
Te1 0.000 0.500 0.250 1
Se1 0.000 0.000 0.500 1
Se2 0.000 0.500 0.750 1
# Calculated volume in Å³ per atom: 28.60
# D(E_F) in states/eV/cell: 7.919

run i comes first in stability; the runner-up is 0.188 eV/atom higher.